P.
CuP2RuO: relaxed, GGA-PBE.

Lattice parameters (Å, degrees): 4.5847 4.5847 3.4032 90.00 90.00 90.00
With the nearest neighbours (Å) after each atom.
Fractional coordinates of all 5 atoms:
Ru  0.5000  0.5000  0.5000  8 P 2.85
O  0.0000  0.0000  0.5000  2 Cu 1.70
Cu  0.0000  0.0000  0.0000  2 O 1.70
P  0.0000  0.5000  0.0000  2 Cu 2.29
P  0.5000  0.0000  0.0000  2 Cu 2.29

Output
Magnetization = 0.1612 μB per atom
DOS at the Fermi energy = 5.35 states/eV/f.u.
Calculated volume = 71.5 Å³/cell
Mass density = 5.6 g/cm³
Symmetry = P4/mmm (123)

---

Q.
CuP2RuO: relaxed, GGA-PBE.

Lattice parameters (Å, degrees): 4.7321 4.7321 3.6352 90.00 90.00 90.00
With the nearest neighbours (Å) after each atom.
Fractional coordinates of all 5 atoms:
Ru  0.0000  0.0000  0.0000  2 O 1.82
O  0.0000  0.0000  0.5000  2 Ru 1.82
Cu  0.5000  0.5000  0.5000  8 P 2.98
P  0.0000  0.5000  0.0000  2 Ru 2.37
P  0.5000  0.0000  0.0000  2 Ru 2.37

Output
Magnetization = 0.0000 μB per atom
DOS at the Fermi energy = 2.81 states/eV/f.u.
Calculated volume = 81.4 Å³/cell
Mass density = 4.9 g/cm³
Symmetry = P4/mmm (123)

---

Least stable = P

---

P.
CuSbP2O8: relaxed, GGA-PBE.

Lattice parameters (Å, degrees): 5.1877 5.1877 6.4473 90.00 90.00 120.00
With the nearest neighbours (Å) after each atom.
Fractional coordinates of all 12 atoms:
Cu  0.0000  0.0000  0.0000  6 O 2.02
Sb  0.0000  0.0000  0.5000  6 O 2.40
P  0.3333  0.6667  0.7205  4 O 1.53-1.56
P  0.6667  0.3333  0.2795  4 O 1.53-1.56
O  0.1674  0.3347  0.7901  1 P 1.56
O  0.1674  0.8326  0.7901  1 P 1.56
O  0.6653  0.8326  0.7901  1 P 1.56
O  0.3347  0.1674  0.2099  1 P 1.56
O  0.6667  0.3333  0.5175  1 P 1.53
O  0.3333  0.6667  0.4825  1 P 1.53
O  0.8326  0.6653  0.2099  1 P 1.56
O  0.8326  0.1674  0.2099  1 P 1.56

Output
Magnetization = 0.1722 μB per atom
DOS at the Fermi energy = 3.13 states/eV/f.u.
Calculated volume = 150.3 Å³/cell
Mass density = 4.1 g/cm³
Symmetry = P-3m1 (164)

---

Q.
CuSbP2O8: relaxed, GGA-PBE.

Lattice parameters (Å, degrees): 6.2229 5.0310 10.1819 84.76 90.00 90.00
With the nearest neighbours (Å) after each atom.
Fractional coordinates of all 24 atoms:
Cu  0.2500  0.8574  0.6988  4 O 1.92-2.04
Cu  0.7500  0.1426  0.3012  4 O 1.92-2.04
Sb  0.7500  0.4366  0.7916  6 O 2.09-2.19
Sb  0.2500  0.5634  0.2084  6 O 2.09-2.19
P  0.2500  0.3836  0.9051  4 O 1.52-1.58
P  0.7500  0.9069  0.6013  4 O 1.51-1.60
P  0.2500  0.0931  0.3987  4 O 1.51-1.60
P  0.7500  0.6164  0.0949  4 O 1.52-1.58
O  0.7500  0.6918  0.9425  1 P 1.56
O  0.2500  0.6862  0.8764  1 P 1.52
O  0.0483  0.2497  0.8447  1 P 1.58
O  0.4517  0.2497  0.8447  1 P 1.58
O  0.9400  0.7391  0.6741  1 P 1.60
O  0.5600  0.7391  0.6741  1 P 1.60
O  0.7500  0.2022  0.6315  1 P 1.54
O  0.2500  0.1115  0.5461  1 P 1.51
O  0.7500  0.8885  0.4539  1 P 1.51
O  0.2500  0.7978  0.3685  1 P 1.54
O  0.0600  0.2609  0.3259  1 P 1.60
O  0.4400  0.2609  0.3259  1 P 1.60
O  0.5483  0.7503  0.1553  1 P 1.58
O  0.9517  0.7503  0.1553  1 P 1.58
O  0.7500  0.3138  0.1236  1 P 1.52
O  0.2500  0.3082  0.0575  1 P 1.56

Output
Magnetization = 0.0645 μB per atom
DOS at the Fermi energy = 1.88 states/eV/f.u.
Calculated volume = 317.4 Å³/cell
Mass density = 3.9 g/cm³
Symmetry = P2_1/m (11)

---

Least stable = P

---

P.
CuSbPO2: relaxed, GGA-PBE.

Lattice parameters (Å, degrees): 3.8771 3.8771 4.5710 90.00 90.00 90.00
With the nearest neighbours (Å) after each atom.
Fractional coordinates of all 5 atoms:
Sb  0.5000  0.5000  0.5000  4 P 2.74, 8 O 3.00
O  0.0000  0.5000  0.0000  2 Cu 1.94
O  0.5000  0.0000  0.0000  2 Cu 1.94
Cu  0.0000  0.0000  0.0000  4 O 1.94
P  0.0000  0.0000  0.5000  2 Cu 2.29

Output
Magnetization = 0.0000 μB per atom
DOS at the Fermi energy = 3.14 states/eV/f.u.
Calculated volume = 68.7 Å³/cell
Mass density = 6.0 g/cm³
Symmetry = P4/mmm (123)

---

Q.
CuSbPO2: relaxed, GGA-PBE.

Lattice parameters (Å, degrees): 3.8336 3.8336 5.4658 90.00 90.00 90.00
With the nearest neighbours (Å) after each atom.
Fractional coordinates of all 5 atoms:
Sb  0.0000  0.0000  0.0000  4 O 1.92
O  0.0000  0.5000  0.0000  2 Sb 1.92
O  0.5000  0.0000  0.0000  2 Sb 1.92
Cu  0.5000  0.5000  0.5000  4 P 2.71
P  0.0000  0.0000  0.5000  4 Cu 2.71, 2 Sb 2.73

Output
Magnetization = 0.0000 μB per atom
DOS at the Fermi energy = 0.82 states/eV/f.u.
Calculated volume = 80.3 Å³/cell
Mass density = 5.1 g/cm³
Symmetry = P4/mmm (123)

---

Least stable = P

---

P.
CuSbP2O: relaxed, GGA-PBE.

Lattice parameters (Å, degrees): 5.1124 5.1124 3.8473 90.00 90.00 90.00
With the nearest neighbours (Å) after each atom.
Fractional coordinates of all 5 atoms:
Sb  0.0000  0.0000  0.0000  2 O 1.92
O  0.0000  0.0000  0.5000  2 Sb 1.92
Cu  0.5000  0.5000  0.5000  8 P 3.20
P  0.0000  0.5000  0.0000  2 Sb 2.56
P  0.5000  0.0000  0.0000  2 Sb 2.56

Output
Magnetization = 0.0000 μB per atom
DOS at the Fermi energy = 3.86 states/eV/f.u.
Calculated volume = 100.6 Å³/cell
Mass density = 4.3 g/cm³
Symmetry = P4/mmm (123)

---

Q.
CuSbP2O: relaxed, GGA-PBE.

Lattice parameters (Å, degrees): 4.7372 4.7372 3.6412 90.00 90.00 90.00
With the nearest neighbours (Å) after each atom.
Fractional coordinates of all 5 atoms:
Sb  0.5000  0.5000  0.5000  8 P 2.99
O  0.0000  0.0000  0.5000  2 Cu 1.82
Cu  0.0000  0.0000  0.0000  2 O 1.82
P  0.0000  0.5000  0.0000  2 Cu 2.37
P  0.5000  0.0000  0.0000  2 Cu 2.37

Output
Magnetization = 0.0000 μB per atom
DOS at the Fermi energy = 3.62 states/eV/f.u.
Calculated volume = 81.7 Å³/cell
Mass density = 5.3 g/cm³
Symmetry = P4/mmm (123)

---

Least stable = P